No. 1
PBEsol BaTl2Cl, optimized geometry; uncorrected formation energy = -0.8590 eV per atom; polymorph energy (0 for the lowest one) = 0.0 meV/atom
1.0
-3.746 -2.011 1.125
1.120 -3.233 -2.763
4.527 -0.555 5.840
Tl Ba Cl
2 1 1
direct
0.500 0.000 0.500
0.000 0.500 0.500
0.000 0.000 0.000
0.500 0.500 0.000

***

No. 2
PBEsol MgIrO2, optimized geometry; uncorrected formation energy = -0.4390 eV per atom
1.0
3.859 0.000 0.000
1.930 3.342 0.000
1.930 1.114 3.151
Mg Ir O
1 1 2
direct
0.000 0.000 0.000
0.500 0.500 0.500
0.250 0.250 0.250
0.750 0.750 0.750

***

No. 3
PBEsol YZrMo, optimized geometry; formation enthalpy at 0 K = 28 kJ per mole of atoms; polymorph energy (0 for the lowest one) = 0.0 meV/atom
1.0
3.122 0.000 0.000
0.000 4.795 0.000
0.000 -2.398 4.153
Mo Y Zr
1 1 1
direct
0.034 0.000 0.000
0.698 0.667 0.333
0.268 0.333 0.667

***

Computed total magnetic moment, in the same sequence as the records: 0.00; 0.00; 0.00 μB/cell.